Record 1
! ErTm3Tc, relaxed, DFT GGA-PBE; values from VASP
&SYSTEM
  ibrav = 0, nat = 5, ntyp = 3
/
ATOMIC_SPECIES
Tc 98.00 Tc.upf
Tm 168.93 Tm.upf
Er 167.26 Er.upf
ATOMIC_POSITIONS crystal
Tc 0.000 0.000 0.000
Tm 0.500 0.000 0.000
Tm 0.000 0.500 0.000
Tm 0.000 0.000 0.500
Er 0.500 0.500 0.500
CELL_PARAMETERS angstrom
-3.170 -0.363 4.245
2.199 -4.671 1.243
3.648 2.500 2.939
! DOS at the Fermi energy (states/eV/atom): 1.4893
! Offset from the most stable computed form (meV per atom): 176.2
! Raw total energy (eV per atom): -5.533

---

Record 2
! ThCuTe3, relaxed, DFT GGA-PBE; values from VASP
&SYSTEM
  ibrav = 0, nat = 20, ntyp = 3
/
ATOMIC_SPECIES
Te 127.60 Te.upf
Cu 63.55 Cu.upf
Th 232.04 Th.upf
ATOMIC_POSITIONS crystal
Te 0.627 0.621 0.578
Te 0.368 0.083 0.750
Te 0.127 0.879 0.422
Te 0.127 0.879 0.078
Te 0.868 0.417 0.250
Te 0.632 0.917 0.250
Te 0.873 0.121 0.578
Te 0.873 0.121 0.922
Te 0.132 0.583 0.750
Te 0.373 0.379 0.078
Te 0.627 0.621 0.922
Te 0.373 0.379 0.422
Cu 0.949 0.754 0.250
Cu 0.551 0.254 0.250
Cu 0.449 0.746 0.750
Cu 0.051 0.246 0.750
Th 0.500 0.000 0.500
Th 0.500 0.000 0.000
Th 0.000 0.500 0.500
Th 0.000 0.500 0.000
CELL_PARAMETERS angstrom
7.709 0.000 0.000
0.000 7.503 0.000
0.000 0.000 11.561
! DOS at the Fermi energy (states/eV/atom): 0.8077
! Uncorrected formation energy (kJ per mole of atoms): -56.6
! Raw total energy (eV per atom): -4.774

---

Record 3
! LiPmNb2N4, relaxed, DFT GGA-PBE; values from VASP
&SYSTEM
  ibrav = 0, nat = 16, ntyp = 4
/
ATOMIC_SPECIES
N 14.01 N.upf
Nb 92.91 Nb.upf
Pm 145.00 Pm.upf
Li 6.94 Li.upf
ATOMIC_POSITIONS crystal
N 0.565 0.131 0.250
N 0.731 0.461 0.610
N 0.435 0.869 0.750
N 0.000 0.000 0.500
N 0.731 0.461 0.890
N 0.269 0.539 0.390
N 0.000 0.000 0.000
N 0.269 0.539 0.110
Nb 0.625 0.250 0.051
Nb 0.625 0.250 0.449
Nb 0.375 0.750 0.551
Nb 0.375 0.750 0.949
Pm 0.111 0.221 0.750
Pm 0.889 0.779 0.250
Li 0.160 0.321 0.250
Li 0.840 0.679 0.750
CELL_PARAMETERS angstrom
-1.916 -1.878 -1.886
1.728 -3.115 4.198
-8.514 2.959 5.702
! DOS at the Fermi energy (states/eV/atom): 0.1654
! Uncorrected formation energy (kJ per mole of atoms): -102.9
! Raw total energy (eV per atom): -8.579

---

Record 4
! RbTi2AgGe, relaxed, DFT GGA-PBE; values from VASP
&SYSTEM
  ibrav = 0, nat = 5, ntyp = 4
/
ATOMIC_SPECIES
Ti 47.87 Ti.upf
Ge 72.64 Ge.upf
Ag 107.87 Ag.upf
Rb 85.47 Rb.upf
ATOMIC_POSITIONS crystal
Ti 0.500 0.000 0.000
Ti 0.000 0.000 0.500
Ge 0.000 0.000 0.000
Ag 0.500 0.500 0.500
Rb 0.000 0.500 0.000
CELL_PARAMETERS angstrom
-2.427 1.915 3.778
2.897 -3.985 3.881
3.586 3.247 0.658
! DOS at the Fermi energy (states/eV/atom): 2.1468
! Raw total energy (eV per atom): -4.031

---

Record 5
! TlCdCoSb2, relaxed, DFT GGA-PBE; values from VASP
&SYSTEM
  ibrav = 0, nat = 5, ntyp = 4
/
ATOMIC_SPECIES
Co 58.93 Co.upf
Cd 112.41 Cd.upf
Sb 121.76 Sb.upf
Tl 204.38 Tl.upf
ATOMIC_POSITIONS crystal
Co 0.000 0.000 0.000
Cd 0.000 0.500 0.000
Sb 0.500 0.000 0.000
Sb 0.000 0.000 0.500
Tl 0.500 0.500 0.500
CELL_PARAMETERS angstrom
-1.062 1.128 4.725
-4.730 -1.910 -0.607
1.624 -4.476 1.433
! DOS at the Fermi energy (states/eV/atom): 1.0733
! Uncorrected formation energy (kJ per mole of atoms): 16.8
! Raw total energy (eV per atom): -3.552

---

Record 6
! Pm2ErUO8, relaxed, DFT GGA-PBE; values from VASP
&SYSTEM
  ibrav = 0, nat = 12, ntyp = 4
/
ATOMIC_SPECIES
O 16.00 O.upf
U 238.03 U.upf
Er 167.26 Er.upf
Pm 145.00 Pm.upf
ATOMIC_POSITIONS crystal
O 0.500 0.225 0.000
O 0.000 0.234 0.228
O 0.500 0.759 0.500
O 0.000 0.766 0.772
O 0.500 0.241 0.500
O 0.000 0.234 0.772
O 0.500 0.775 0.000
O 0.000 0.766 0.228
U 0.000 0.000 0.000
Er 0.000 0.000 0.500
Pm 0.500 0.500 0.749
Pm 0.500 0.500 0.251
CELL_PARAMETERS angstrom
3.888 -0.037 -0.002
0.049 5.462 -0.006
0.004 0.009 7.603
! DOS at the Fermi energy (states/eV/atom): 0.7411
! Uncorrected formation energy (kJ per mole of atoms): -311.0
! Raw total energy (eV per atom): -8.641

---

Record 7
! ScSi3Ag, relaxed, DFT GGA-PBE; values from VASP
&SYSTEM
  ibrav = 0, nat = 5, ntyp = 3
/
ATOMIC_SPECIES
Sc 44.96 Sc.upf
Si 28.09 Si.upf
Ag 107.87 Ag.upf
ATOMIC_POSITIONS crystal
Sc 0.500 0.500 0.500
Si 0.000 0.000 0.500
Si 0.000 0.500 0.000
Si 0.500 0.000 0.000
Ag 0.000 0.000 0.000
CELL_PARAMETERS angstrom
4.816 0.000 0.000
0.000 4.816 0.000
0.000 0.000 4.816
! DOS at the Fermi energy (states/eV/atom): 1.1481
! Offset from the most stable computed form (meV per atom): 0.0
! Uncorrected formation energy (kJ per mole of atoms): 80.9
! Raw total energy (eV per atom): -4.251

---

Record 8
! PuWN2, relaxed, DFT GGA-PBE; values from VASP
&SYSTEM
  ibrav = 0, nat = 4, ntyp = 3
/
ATOMIC_SPECIES
N 14.01 N.upf
Pu 244.00 Pu.upf
W 183.84 W.upf
ATOMIC_POSITIONS crystal
N 0.000 0.000 0.794
N 0.000 0.000 0.206
Pu 0.500 0.500 0.500
W 0.500 0.500 0.000
CELL_PARAMETERS angstrom
-1.915 1.606 -1.262
-0.663 -2.125 -1.698
-4.099 -1.831 3.891
! DOS at the Fermi energy (states/eV/atom): 1.2237
! Offset from the most stable computed form (meV per atom): 850.7
! Uncorrected formation energy (kJ per mole of atoms): -6.7
! Raw total energy (eV per atom): -11.054

---

Question: Which of these has the lowest raw total energy?
Answer: PuWN2

---

Question: What is the DOS at the Fermi energy in the fourth record?
Answer: 2.1468 states/eV/atom